Zr2MoCl | PBE | relaxed

- E_form (uncorrected) (meV/atom) = -500
- electronic total energy (eV per atom) = -7.943
- crystal system = orthorhombic

Cell: 3.2663 3.3948 7.7856 Å, 90.00 90.00 90.00°
Fractional positions:
Zr 0.0000 0.0000 0.2061
Zr 0.0000 0.0000 0.7939
Mo 0.5000 0.5000 0.0000
Cl 0.5000 0.0000 0.5000